Entry 1:
CrCdHg: optimized geometry, PBE-GGA.

## Properties
Space group: F-43m (216)
Calculated density, g/cm³: 8.488
E_tot, eV/cell: -9.33

Unit cell a=4.657 b=4.657 c=4.657 alpha=60.00 beta=60.00 gamma=60.00
Site moments in Bohr magnetons follow the coordinates.
Fractional positions:
Cd 0.500 0.500 0.500  0.02
Cr 0.750 0.750 0.750  3.83
Hg 0.000 0.000 0.000  0.04

Entry 2:
CrCdHg2: optimized geometry, PBE-GGA.

## Properties
Space group: Cmmm (65)
Calculated density, g/cm³: 11.140
E_tot, eV/cell: -9.90

Unit cell a=5.067 b=5.067 c=3.375 alpha=90.00 beta=90.00 gamma=103.31
Site moments in Bohr magnetons follow the coordinates.
Fractional positions:
Cd 0.500 0.000 0.500  -0.01
Cr 0.000 0.500 0.500  3.77
Hg 0.000 0.000 0.000  -0.02
Hg 0.500 0.500 0.000  -0.02

Entry 3:
CrCd2Hg: optimized geometry, PBE-GGA.

## Properties
Space group: Imm2 (44)
Calculated density, g/cm³: 9.696
E_tot, eV/cell: -10.76

Unit cell a=5.306 b=5.306 c=5.306 alpha=131.56 beta=131.68 gamma=70.83
Site moments in Bohr magnetons follow the coordinates.
Fractional positions:
Cd 0.000 0.000 0.000  -0.02
Cd 0.750 0.250 0.500  -0.02
Cr 0.500 0.500 0.000  3.77
Hg 0.250 0.750 0.500  -0.01

Entry 4:
CrCd4Hg: optimized geometry, PBE-GGA.

## Properties
Space group: F-43m (216)
Calculated density, g/cm³: 8.603
E_tot, eV/cell: -11.63

Unit cell a=5.766 b=5.766 c=5.766 alpha=60.00 beta=60.00 gamma=60.00
Site moments in Bohr magnetons follow the coordinates.
Fractional positions:
Cr 0.750 0.750 0.750  4.03
Cd 0.874 0.375 0.375  0.01
Cd 0.375 0.375 0.874  0.01
Cd 0.375 0.874 0.375  0.01
Cd 0.375 0.375 0.375  0.01
Hg 0.000 0.000 0.000  0.03

Entry 5:
CrCdHg2: optimized geometry, PBE-GGA.

## Properties
Space group: I-42d (122)
Calculated density, g/cm³: 9.919
E_tot, eV/cell: -19.02

Unit cell a=4.324 b=4.324 c=10.580 alpha=78.21 beta=78.21 gamma=90.00
Site moments in Bohr magnetons follow the coordinates.
Fractional positions:
Cr 0.500 0.500 0.000  3.93
Cr 0.250 0.750 0.500  3.92
Hg 0.615 0.125 0.250  0.02
Hg 0.135 0.625 0.250  0.01
Hg 0.375 0.385 0.750  0.01
Hg 0.875 0.865 0.750  0.01
Cd 0.000 0.000 0.000  -0.01
Cd 0.750 0.250 0.500  -0.01

Entry 6:
CrCdHg2: optimized geometry, PBE-GGA.

## Properties
Space group: P4mm (99)
Calculated density, g/cm³: 11.064
E_tot, eV/cell: -9.97

Unit cell a=3.143 b=3.143 c=8.594 alpha=90.00 beta=90.00 gamma=90.00
Site moments in Bohr magnetons follow the coordinates.
Fractional positions:
Cd 0.000 0.000 0.526  -0.03
Cr 0.500 0.500 0.750  3.63
Hg 0.000 0.000 0.969  -0.01
Hg 0.500 0.500 0.255  0.00

Entry 7:
CrCdHg2: optimized geometry, PBE-GGA.

## Properties
Space group: Pmm2 (25)
Calculated density, g/cm³: 11.222
E_tot, eV/cell: -9.91

Unit cell a=4.880 b=3.280 c=5.229 alpha=90.01 beta=90.00 gamma=90.00
Site moments in Bohr magnetons follow the coordinates.
Fractional positions:
Cd 0.000 0.625 0.453  0.00
Cr 0.500 0.625 0.807  3.77
Hg 0.000 0.125 0.937  -0.02
Hg 0.500 0.125 0.304  -0.02

Entry 8:
CrCdHg2: optimized geometry, PBE-GGA.

## Properties
Space group: P4/mmm (123)
Calculated density, g/cm³: 11.288
E_tot, eV/cell: -10.02

Unit cell a=3.176 b=3.176 c=8.246 alpha=90.00 beta=90.00 gamma=90.00
Site moments in Bohr magnetons follow the coordinates.
Fractional positions:
Cd 0.500 0.500 0.250  -0.02
Cr 0.500 0.500 0.750  3.64
Hg 0.000 0.000 0.977  -0.02
Hg 0.000 0.000 0.523  -0.02

Entry 9:
CrCdHg2: optimized geometry, PBE-GGA.

## Properties
Space group: C2/m (12)
Calculated density, g/cm³: 11.062
E_tot, eV/cell: -9.95

Unit cell a=5.070 b=5.070 c=5.516 alpha=79.72 beta=79.72 gamma=37.56
Site moments in Bohr magnetons follow the coordinates.
Fractional positions:
Cd 0.250 0.250 0.250  -0.03
Cr 0.750 0.750 0.750  3.73
Hg 0.007 0.007 0.987  0.00
Hg 0.493 0.493 0.513  0.00

Entry 10:
CrCdHg: optimized geometry, PBE-GGA.

## Properties
Space group: I4mm (107)
Calculated density, g/cm³: 10.167
E_tot, eV/cell: -9.81

Unit cell a=6.477 b=6.477 c=3.129 alpha=76.03 beta=76.01 gamma=27.96
Site moments in Bohr magnetons follow the coordinates.
Fractional positions:
Cd 0.990 0.990 0.010  -0.04
Cr 0.332 0.332 0.668  3.54
Hg 0.678 0.678 0.322  -0.03

Entry 11:
CrCdHg2: optimized geometry, PBE-GGA.

## Properties
Space group: R-3m (166)
Calculated density, g/cm³: 10.830
E_tot, eV/cell: -9.83

Unit cell a=9.450 b=9.450 c=9.450 alpha=20.04 beta=20.04 gamma=20.04
Site moments in Bohr magnetons follow the coordinates.
Fractional positions:
Cd 0.250 0.250 0.250  -0.03
Cr 0.750 0.750 0.750  3.66
Hg 0.006 0.006 0.006  -0.01
Hg 0.494 0.494 0.494  -0.01

Entry 12:
CrCd2Hg: optimized geometry, PBE-GGA.

## Properties
Space group: Pmmm (47)
Calculated density, g/cm³: 9.506
E_tot, eV/cell: -10.64

Unit cell a=3.376 b=4.080 c=6.054 alpha=90.00 beta=90.00 gamma=90.00
Site moments in Bohr magnetons follow the coordinates.
Fractional positions:
Cd 0.000 0.000 0.011  -0.01
Cd 0.000 0.000 0.489  -0.01
Cr 0.500 0.500 0.250  3.75
Hg 0.500 0.500 0.750  -0.01

Among the records above, which one has the lowest E_tot?
number 5